The following is a DFT calculation (PBE) of an optimized crystal structure of PrGdGePd.

abc: 5.1421 5.1421 5.1421
angles: 60.00 60.00 60.00
Atoms (fractional coordinates):
Pr 0.0000 0.0000 0.0000
Gd 0.5000 0.5000 0.5000
Ge 0.7500 0.7500 0.7500
Pd 0.2500 0.2500 0.2500

N(E_F): 0.86 states/eV/atom
SG: F-43m
calculated formation energy: -737 meV per atom